Record 1
4
Lattice="-0.340 -1.580 -2.299 -0.600 -2.734 0.250 -9.619 0.600 -0.709" Properties=species:S:1:pos:R:3 comment="NpRu2W (PBE, optimized geometry)" final_energy_ev_per_atom=-10.905 n_ef_per_ev_cell=6.94 ef_mev_per_atom=206 pbc="T T T"
Ru -2.851 -0.882 -0.690
Ru -7.707 -2.831 -2.069
W -5.279 -1.857 -1.379
Np 0.000 0.000 0.000



Record 2
3
Lattice="4.650 0.000 0.000 -2.325 4.027 0.000 0.000 0.000 2.791" Properties=species:S:1:pos:R:3 comment="TaCdRe (PBE, optimized geometry)" final_energy_ev_per_atom=-8.162 n_ef_per_ev_cell=0.95 ef_mev_per_atom=243 pbc="T T T"
Ta 0.000 2.685 1.755
Cd 0.000 0.000 0.023
Re 2.325 1.342 1.013



Record 3
8
Lattice="2.661 -4.609 0.000 2.661 4.609 0.000 0.000 0.000 9.318" Properties=species:S:1:pos:R:3 comment="YMg3 (PBE, optimized geometry)" final_energy_ev_per_atom=-2.612 n_ef_per_ev_cell=4.65 ef_mev_per_atom=200 pbc="T T T"
Mg 0.000 0.000 6.989
Mg 2.661 -1.536 8.458
Mg 2.661 1.536 3.799
Mg 2.661 -1.536 5.519
Mg 0.000 0.000 2.330
Mg 2.661 1.536 0.860
Y 2.661 1.536 6.989
Y 2.661 -1.536 2.330



Record 4
8
Lattice="6.628 0.000 0.000 0.000 6.628 0.000 3.314 3.314 2.543" Properties=species:S:1:pos:R:3 comment="Mn2NiAs (PBE, optimized geometry)" final_energy_ev_per_atom=-6.965 n_ef_per_ev_cell=7.93 ef_mev_per_atom=227 pbc="T T T"
Ni 3.314 6.628 1.271
Ni 3.314 3.314 0.000
Mn 4.971 4.987 1.907
Mn 1.673 4.971 0.636
Mn 8.286 8.270 1.907
Mn 4.956 1.657 0.636
As 0.000 0.000 0.000
As 6.628 3.314 1.271



Record 5
7
Lattice="-0.917 -2.850 5.760 1.813 -5.697 -2.531 6.166 1.251 1.600" Properties=species:S:1:pos:R:3 comment="La3InI3 (PBE, optimized geometry)" final_energy_ev_per_atom=-4.233 formation_energy_uncorrected_ev_per_atom=-1.066 n_ef_per_ev_cell=2.68 pbc="T T T"
I -0.458 -1.425 2.880
I 0.906 -2.848 -1.265
I 3.083 0.625 0.800
In 3.531 -3.648 2.415
La 3.989 -2.223 -0.465
La 0.448 -4.274 1.615
La 2.624 -0.800 3.680



Record 6
5
Lattice="-0.071 -3.637 -1.279 2.246 1.001 -2.970 3.133 -0.800 2.100" Properties=species:S:1:pos:R:3 comment="FeCu3C (PBE, optimized geometry)" final_energy_ev_per_atom=-5.413 n_ef_per_ev_cell=3.94 ef_mev_per_atom=582 pbc="T T T"
Cu 1.123 0.500 -1.485
Cu -0.036 -1.818 -0.640
Cu 1.566 -0.400 1.050
Fe 2.654 -1.718 -1.074
C 0.000 0.000 0.000



Record 7
4
Lattice="-1.891 -2.825 -1.369 1.471 0.615 -3.300 5.117 -4.156 1.506" Properties=species:S:1:pos:R:3 comment="Zr2NpSn (PBE, optimized geometry)" final_energy_ev_per_atom=-8.527 n_ef_per_ev_cell=7.26 ef_mev_per_atom=-17 pbc="T T T"
Np -0.210 -1.105 -2.335
Zr 3.816 -3.099 1.123
Zr 1.302 -1.057 0.383
Sn 2.349 -3.183 -1.581



Record 8
4
Lattice="5.413 -0.009 0.000 -1.962 5.045 0.000 0.000 0.000 2.782" Properties=species:S:1:pos:R:3 comment="KInIr2 (PBE, optimized geometry)" final_energy_ev_per_atom=-4.619 n_ef_per_ev_cell=3.49 ef_mev_per_atom=770 pbc="T T T"
Ir 1.725 2.518 0.000
Ir 0.000 0.000 0.000
In -0.981 2.522 1.391
K 2.706 -0.004 1.391



Record 9
5
Lattice="-1.339 1.555 3.276 2.386 -2.252 2.044 5.163 4.289 2.355" Properties=species:S:1:pos:R:3 comment="Sr2H2Pt (PBE, optimized geometry)" final_energy_ev_per_atom=-3.795 n_ef_per_ev_cell=0.00 pbc="T T T"
Pt 0.000 0.000 0.000
Sr 4.404 2.659 5.099
Sr 1.805 0.933 2.576
H 4.036 0.844 3.530
H 2.174 2.748 4.145



Record 10
4
Lattice="4.965 0.000 0.000 2.482 4.300 0.000 2.482 1.433 4.054" Properties=species:S:1:pos:R:3 comment="SmErGaRu (PBE, optimized geometry)" final_energy_ev_per_atom=-5.811 n_ef_per_ev_cell=2.30 ef_mev_per_atom=-415 pbc="T T T"
Er 2.482 1.433 1.013
Sm 7.447 4.300 3.040
Ga 4.965 2.867 2.027
Ru 0.000 0.000 0.000



Record 11
12
Lattice="-3.628 2.691 0.325 -3.400 -3.672 -7.538 -1.808 -7.092 6.983" Properties=species:S:1:pos:R:3 comment="Pr2Dy3TmBi6 (PBE, optimized geometry)" final_energy_ev_per_atom=-5.133 n_ef_per_ev_cell=2.03 ef_mev_per_atom=-873 pbc="T T T"
Dy -3.514 -0.490 -3.606
Dy -4.778 -3.071 3.644
Dy -4.058 -5.002 -3.873
Tm -1.814 1.346 0.163
Pr -2.327 -3.120 -0.138
Pr -6.509 -4.953 -0.091
Bi -5.009 -2.708 -1.926
Bi -3.828 -5.365 1.698
Bi -2.592 -2.813 -5.632
Bi -5.574 -7.250 -2.188
Bi -6.244 -5.260 5.403
Bi -3.262 -0.823 1.959



Record 12
10
Lattice="-3.946 -1.331 0.408 -0.063 -2.431 -8.537 2.446 -6.676 1.883" Properties=species:S:1:pos:R:3 comment="Y3ScTc (PBE, optimized geometry)" final_energy_ev_per_atom=-7.232 n_ef_per_ev_cell=7.76 ef_mev_per_atom=-14 pbc="T T T"
Y -1.308 -6.926 -3.059
Y 1.319 -8.576 -4.490
Y -0.229 -2.521 0.294
Y -0.254 -3.512 -3.187
Y -1.334 -7.917 -6.540
Y -2.882 -1.861 -1.756
Sc 0.685 -5.545 -0.733
Sc -2.248 -4.892 -5.513
Tc -1.843 -4.696 -0.957
Tc 0.280 -5.742 -5.289



no.,total magnetic moment (μB per formula unit)
1,2.90
2,0.00
3,0.00
4,6.05
5,0.00
6,3.03
7,4.18
8,0.00
9,0.00
10,0.00
11,0.00
12,0.00